Entry 1:
Li2FeP2HO8 (PBEsol, relaxed); DFT total energy = -6.927 eV per atom
1.0
-3.018 0.951 -3.553
2.607 -6.620 -1.614
-5.799 -3.272 4.050
H O P Li Fe
2 16 4 4 2
Direct
0.250 0.250 0.999
0.750 0.750 0.499
0.772 0.058 0.668
0.125 0.404 0.541
0.105 0.889 0.823
0.395 0.611 0.174
0.625 0.904 0.956
0.991 0.804 0.443
0.875 0.596 0.041
0.605 0.389 0.674
0.491 0.304 0.054
0.728 0.442 0.329
0.009 0.196 0.943
0.509 0.696 0.554
0.375 0.096 0.456
0.228 0.942 0.168
0.272 0.558 0.829
0.895 0.111 0.323
0.380 0.510 0.652
0.880 0.010 0.845
0.620 0.490 0.152
0.120 0.990 0.345
0.367 0.908 0.634
0.867 0.408 0.864
0.633 0.092 0.134
0.133 0.592 0.364
0.250 0.750 0.999
0.750 0.250 0.499

Entry 2:
LiFeH12S2O14 (PBEsol, relaxed); DFT total energy = -5.654 eV per atom
1.0
-4.207 3.593 -1.339
-3.717 -7.732 1.204
-1.519 2.529 11.554
S H O Li Fe
4 24 28 2 2
Direct
0.719 0.159 0.852
0.235 0.329 0.137
0.765 0.671 0.637
0.281 0.841 0.352
0.366 0.473 0.580
0.330 0.801 0.138
0.883 0.482 0.895
0.970 0.994 0.603
0.117 0.518 0.395
0.112 0.512 0.621
0.688 0.365 0.559
0.030 0.006 0.103
0.072 0.005 0.889
0.888 0.488 0.121
0.946 0.854 0.190
0.349 0.143 0.439
0.325 0.959 0.919
0.054 0.146 0.690
0.928 0.995 0.389
0.654 0.711 0.852
0.670 0.199 0.638
0.675 0.041 0.419
0.975 0.376 0.312
0.634 0.527 0.080
0.312 0.635 0.059
0.651 0.857 0.939
0.346 0.289 0.352
0.025 0.624 0.812
0.386 0.967 0.437
0.983 0.413 0.393
0.017 0.587 0.893
0.997 0.643 0.677
0.143 0.913 0.901
0.009 0.817 0.343
0.602 0.108 0.743
0.188 0.423 0.600
0.353 0.458 0.052
0.857 0.087 0.401
0.647 0.542 0.552
0.332 0.688 0.389
0.406 0.338 0.231
0.681 0.747 0.934
0.073 0.110 0.612
0.398 0.892 0.243
0.594 0.662 0.731
0.811 0.822 0.573
0.319 0.253 0.434
0.991 0.183 0.843
0.812 0.577 0.100
0.003 0.357 0.177
0.276 0.742 0.063
0.927 0.890 0.112
0.668 0.312 0.889
0.724 0.258 0.563
0.189 0.178 0.073
0.614 0.033 0.937
0.689 0.697 0.423
0.311 0.303 0.923
0.023 0.257 0.501
0.977 0.743 0.001

Entry 3:
Mg2FeH6 (PBEsol, relaxed); DFT total energy = -3.926 eV per atom
1.0
4.481 0.000 0.000
2.240 3.881 0.000
2.240 1.294 3.659
Fe Mg H
1 2 6
Direct
0.000 0.000 0.000
0.750 0.750 0.750
0.250 0.250 0.250
0.244 0.756 0.244
0.756 0.756 0.244
0.244 0.244 0.756
0.756 0.244 0.756
0.756 0.244 0.244
0.244 0.756 0.756

Entry 4:
MgFe2P2H18O18 (PBEsol, relaxed); DFT total energy = -5.882 eV per atom
1.0
-0.405 5.207 -0.332
-3.790 -2.355 5.221
9.006 -1.096 4.352
Fe P H O Mg
2 2 18 18 1
Direct
0.500 0.000 0.500
0.500 0.500 0.500
0.015 0.922 0.665
0.985 0.078 0.335
0.084 0.654 0.812
0.544 0.007 0.124
0.318 0.501 0.722
0.840 0.326 0.482
0.825 0.603 0.061
0.456 0.993 0.876
0.175 0.397 0.939
0.911 0.417 0.723
0.319 0.414 0.099
0.089 0.583 0.277
0.688 0.050 0.792
0.402 0.304 0.673
0.160 0.674 0.518
0.681 0.586 0.901
0.916 0.346 0.188
0.682 0.499 0.278
0.312 0.950 0.208
0.598 0.696 0.327
0.291 0.054 0.629
0.913 0.493 0.204
0.189 0.959 0.346
0.653 0.292 0.506
0.664 0.045 0.888
0.093 0.900 0.817
0.087 0.507 0.796
0.115 0.299 0.436
0.762 0.682 0.993
0.907 0.100 0.183
0.238 0.318 0.007
0.811 0.041 0.654
0.709 0.946 0.371
0.336 0.955 0.112
0.885 0.701 0.564
0.347 0.708 0.494
0.474 0.467 0.688
0.526 0.533 0.312
0.000 0.000 0.000

Entry 5:
MgTlFe2H (PBEsol, relaxed); DFT total energy = -3.206 eV per atom
1.0
4.685 0.000 0.000
0.000 4.685 0.000
0.000 0.000 5.371
H Fe Mg Tl
1 2 1 1
Direct
0.500 0.500 0.500
0.500 0.000 0.000
0.000 0.500 0.000
0.000 0.000 0.000
0.000 0.000 0.500

Entry 6:
MgZnFe2H (PBEsol, relaxed); DFT total energy = -4.764 eV per atom
1.0
-2.416 0.305 -2.722
0.808 -3.389 -1.097
-2.931 -1.486 2.434
Mg H Zn Fe
1 1 1 2
Direct
0.500 0.500 0.500
0.000 0.000 0.000
0.000 0.000 0.500
0.500 0.000 0.000
0.000 0.500 0.000

Entry 7:
MnFe3H (PBEsol, relaxed); DFT total energy = -7.997 eV per atom
1.0
3.507 0.000 0.000
0.000 3.507 0.000
0.000 0.000 3.507
Fe H Mn
3 1 1
Direct
0.000 0.500 0.000
0.000 0.000 0.500
0.500 0.000 0.000
0.000 0.000 0.000
0.500 0.500 0.500

Entry 8:
MnFeH3 (PBEsol, relaxed); DFT total energy = -5.469 eV per atom
1.0
3.190 0.000 0.000
0.000 3.190 0.000
0.000 0.000 3.190
H Fe Mn
3 1 1
Direct
0.000 0.000 0.500
0.500 0.000 0.000
0.000 0.500 0.000
0.500 0.500 0.500
0.000 0.000 0.000

What is the formula in the first record? Li2FeP2HO8